No. 1
The following is a PBE calculation of crystalline Pm7Dy3Ho2 at its relaxed geometry, from Alexandria via LeMat-Bulk.

```
Pm7Dy3Ho2
1.0
6.430 0.000 0.000
0.000 3.556 0.000
-1.819 0.000 17.460
Pm Dy Ho
7 3 2
Direct
0.000 0.000 0.000
0.224 0.500 0.171
0.257 0.500 0.495
0.275 0.000 0.833
0.725 0.000 0.167
0.743 0.500 0.505
0.776 0.500 0.829
0.453 0.000 0.340
0.500 0.500 0.000
0.547 0.000 0.660
0.059 0.500 0.670
0.941 0.500 0.330
```

Distance to the lowest polymorph of the same formula: 0.00 eV per formula unit
Space group: P2/m, No. 10

***

No. 2
The following is a PBE calculation of crystalline PmDy7Ho2 at its relaxed geometry, from Alexandria via LeMat-Bulk.

```
PmDy7Ho2
1.0
-2.715 3.506 8.342
2.715 -3.506 8.342
2.715 3.506 -8.342
Pm Dy Ho
1 7 2
Direct
0.000 0.000 0.000
0.142 0.390 0.752
0.200 0.200 0.000
0.361 0.610 0.752
0.500 0.000 0.500
0.639 0.390 0.248
0.800 0.800 0.000
0.858 0.610 0.248
0.301 0.801 0.500
0.699 0.199 0.500
```

Distance to the lowest polymorph of the same formula: 0.00 eV per formula unit
Space group: Immm, No. 71

***

No. 3
The following is a PBE calculation of crystalline Pm2DyHo5 at its relaxed geometry, from Alexandria via LeMat-Bulk.

```
Pm2DyHo5
1.0
7.116 0.000 0.000
0.000 14.234 0.000
0.000 0.000 5.025
Pm Dy Ho
4 2 10
Direct
0.250 0.125 0.000
0.250 0.625 0.000
0.750 0.375 0.000
0.750 0.875 0.000
0.000 0.000 0.500
0.500 0.500 0.500
0.000 0.250 0.500
0.000 0.500 0.500
0.000 0.750 0.500
0.250 0.375 0.000
0.250 0.875 0.000
0.500 0.000 0.500
0.500 0.250 0.500
0.500 0.750 0.500
0.750 0.125 0.000
0.750 0.625 0.000
```

Space group: Pbam, No. 55

***

No. 4
The following is a PBE calculation of crystalline Pm2Dy3Ho5 at its relaxed geometry, from Alexandria via LeMat-Bulk.

```
Pm2Dy3Ho5
1.0
-4.672 10.848 3.385
4.672 -10.848 3.385
4.672 10.848 -3.385
Pm Dy Ho
4 6 10
Direct
0.126 0.101 0.226
0.374 0.601 0.975
0.626 0.399 0.025
0.874 0.899 0.774
0.126 0.749 0.875
0.250 0.250 0.000
0.374 0.249 0.623
0.626 0.751 0.377
0.750 0.750 0.000
0.874 0.251 0.125
0.002 0.750 0.252
0.124 0.411 0.535
0.250 0.750 0.500
0.376 0.911 0.286
0.498 0.750 0.748
0.502 0.250 0.252
0.624 0.089 0.714
0.750 0.250 0.500
0.876 0.589 0.465
0.998 0.250 0.748
```

Distance to the lowest polymorph of the same formula: 2.14 eV per formula unit
Space group: Ibam, No. 72

***

Number 1: E_form 0.072 eV per atom, M_tot 0.00 μB per cell. Number 2: E_form 0.046 eV per atom, M_tot 0.00 μB per cell. Number 3: E_form 0.018 eV per atom, M_tot 0.00 μB per cell. Number 4: E_form 0.411 eV per atom, M_tot 0.00 μB per cell.